Entry from the Alexandria database: a relaxed CePm5Sm crystal (PBE).

Lattice parameters (Å, degrees): 13.1859 8.6340 5.7510 90.00 115.80 90.00
Closest atoms and distances in Å follow each position.
Sites, in units of the cell vectors:
Ce: 0.0000 0.0000 0.0000  6 Pm 2.73-2.89
Ce: 0.5000 0.5000 0.0000  6 Pm 2.73-2.89
Pm: 0.0000 0.0000 0.5000  2 Ce 2.88
Pm: 0.0000 0.3157 0.0000  1 Ce 2.73
Pm: 0.0000 0.6843 0.0000  1 Ce 2.73
Pm: 0.2437 0.0000 0.2435  1 Ce 2.89, 1 Sm 3.04
Pm: 0.2563 0.5000 0.7565  1 Ce 2.89, 1 Sm 3.04
Pm: 0.5000 0.1843 0.0000  1 Ce 2.73
Pm: 0.5000 0.5000 0.5000  2 Ce 2.88
Pm: 0.5000 0.8157 0.0000  1 Ce 2.73
Pm: 0.7437 0.5000 0.2435  1 Ce 2.89, 1 Sm 3.04
Pm: 0.7563 0.0000 0.7565  1 Ce 2.89, 1 Sm 3.04
Sm: 0.0000 0.5000 0.5000  6 Pm 3.04-3.29
Sm: 0.5000 0.0000 0.5000  6 Pm 3.04-3.29

N(E_F), states/eV per cell: 30.99
M_tot, μB/f.u.: 0.00
VASP energy, eV/atom: -4.023
Formation enthalpy at 0 K, eV per formula unit: 6.25

***

Entry from the Alexandria database: a relaxed Nd2DyHo3Se6 crystal (PBE).

Lattice parameters (Å, degrees): 9.2282 9.2282 8.3097 103.80 103.80 25.59
Closest atoms and distances in Å follow each position.
Sites, in units of the cell vectors:
Nd: 0.1683 0.1683 0.3362  6 Se 2.96-3.01
Nd: 0.8317 0.8317 0.6638  6 Se 2.96-3.01
Dy: 0.5000 0.5000 0.0000  6 Se 2.89-2.92
Ho: 0.1698 0.1698 0.8337  6 Se 2.84-2.89
Ho: 0.5000 0.5000 0.5000  6 Se 2.83-2.91
Ho: 0.8302 0.8302 0.1663  6 Se 2.84-2.89
Se: 0.0042 0.0042 0.7511  3 Ho 2.89-2.91, 2 Dy 2.92, 1 Nd 3.01
Se: 0.3345 0.3345 0.9279  3 Ho 2.86-2.87, 1 Dy 2.89, 2 Nd 2.99
Se: 0.3378 0.3378 0.4075  3 Ho 2.83-2.84, 3 Nd 2.96-2.97
Se: 0.6622 0.6622 0.5925  3 Ho 2.83-2.84, 3 Nd 2.96-2.97
Se: 0.6655 0.6655 0.0721  3 Ho 2.86-2.87, 1 Dy 2.89, 2 Nd 2.99
Se: 0.9958 0.9958 0.2489  3 Ho 2.89-2.91, 2 Dy 2.92, 1 Nd 3.01

N(E_F), states/eV per cell: 5.40
M_tot, μB/f.u.: 0.00
VASP energy, eV/atom: -5.831

***

Entry from the Alexandria database: a relaxed CrCdSb crystal (PBE).

Lattice parameters (Å, degrees): 6.5314 6.5314 6.5314 90.00 90.00 90.00
Closest atoms and distances in Å follow each position.
Sites, in units of the cell vectors:
Cr: 0.0000 0.0000 0.0000  4 Cd 2.83, 4 Sb 2.83
Cr: 0.0000 0.5000 0.5000  4 Cd 2.83, 4 Sb 2.83
Cr: 0.5000 0.0000 0.5000  4 Cd 2.83, 4 Sb 2.83
Cr: 0.5000 0.5000 0.0000  4 Cd 2.83, 4 Sb 2.83
Cd: 0.2500 0.2500 0.2500  4 Cr 2.83
Cd: 0.2500 0.7500 0.7500  4 Cr 2.83
Cd: 0.7500 0.2500 0.7500  4 Cr 2.83
Cd: 0.7500 0.7500 0.2500  4 Cr 2.83
Sb: 0.2500 0.2500 0.7500  4 Cr 2.83
Sb: 0.2500 0.7500 0.2500  4 Cr 2.83
Sb: 0.7500 0.2500 0.2500  4 Cr 2.83
Sb: 0.7500 0.7500 0.7500  4 Cr 2.83

N(E_F), states/eV per cell: 5.52
M_tot, μB/f.u.: 3.59
VASP energy, eV/atom: -4.696
Distance to the lowest polymorph of the same formula, meV/atom: 0.0

***

Entry from the Alexandria database: a relaxed CaY3Te6 crystal (PBE).

Lattice parameters (Å, degrees): 13.0620 4.3522 13.0802 90.00 113.21 90.00
Closest atoms and distances in Å follow each position.
Sites, in units of the cell vectors:
Ca: 0.2129 0.2500 0.0507  7 Te 3.19-3.56
Ca: 0.7871 0.7500 0.9493  7 Te 3.19-3.56
Y: 0.0209 0.7500 0.2826  6 Te 3.02-3.12
Y: 0.3384 0.2500 0.4330  6 Te 3.05-3.14
Y: 0.4079 0.7500 0.8357  6 Te 3.04-3.14
Y: 0.5921 0.2500 0.1643  6 Te 3.04-3.14
Y: 0.6616 0.7500 0.5670  6 Te 3.05-3.14
Y: 0.9791 0.2500 0.7174  6 Te 3.02-3.12
Te: 0.0383 0.7500 0.9032  2 Y 3.12, 2 Ca 3.19
Te: 0.1146 0.2500 0.4550  3 Y 3.02-3.05
Te: 0.2322 0.2500 0.7816  3 Y 3.04-3.07
Te: 0.2459 0.7500 0.2539  3 Y 3.07-3.11, 2 Ca 3.33
Te: 0.4105 0.7500 0.0743  3 Y 3.09-3.11, 2 Ca 3.30
Te: 0.4427 0.7500 0.6119  4 Y 3.09-3.14
Te: 0.5573 0.2500 0.3881  4 Y 3.09-3.14
Te: 0.5895 0.2500 0.9257  3 Y 3.09-3.11, 2 Ca 3.30
Te: 0.7541 0.2500 0.7461  3 Y 3.07-3.11, 2 Ca 3.33
Te: 0.7678 0.7500 0.2184  3 Y 3.04-3.07
Te: 0.8854 0.7500 0.5450  3 Y 3.02-3.05
Te: 0.9617 0.2500 0.0968  2 Y 3.12, 2 Ca 3.19

N(E_F), states/eV per cell: 12.19
M_tot, μB/f.u.: 0.00
VASP energy, eV/atom: -5.346

***

Entry from the Alexandria database: a relaxed TaCr2Co crystal (PBE).

Lattice parameters (Å, degrees): 2.6550 2.6550 26.2903 90.00 90.00 120.00
Closest atoms and distances in Å follow each position.
Sites, in units of the cell vectors:
Ta: 0.0000 0.0000 0.0000  6 Ta 2.66, 6 Cr 2.88
Ta: 0.3333 0.6667 0.6667  6 Ta 2.66, 6 Cr 2.88
Ta: 0.6667 0.3333 0.3333  6 Ta 2.66, 6 Cr 2.88
Cr: 0.0000 0.0000 0.2406  3 Co 2.48, 6 Cr 2.66
Cr: 0.0000 0.0000 0.7594  3 Co 2.48, 6 Cr 2.66
Cr: 0.3333 0.6667 0.4261  3 Co 2.48, 6 Cr 2.66
Cr: 0.3333 0.6667 0.9073  3 Co 2.48, 6 Cr 2.66
Cr: 0.6667 0.3333 0.0927  3 Co 2.48, 6 Cr 2.66
Cr: 0.6667 0.3333 0.5739  3 Co 2.48, 6 Cr 2.66
Co: 0.0000 0.0000 0.5000  6 Cr 2.48, 6 Co 2.66
Co: 0.3333 0.6667 0.1667  6 Cr 2.48, 6 Co 2.66
Co: 0.6667 0.3333 0.8333  6 Cr 2.48, 6 Co 2.66

N(E_F), states/eV per cell: 13.96
M_tot, μB/f.u.: 0.47
VASP energy, eV/atom: -9.129
Distance to the lowest polymorph of the same formula, meV/atom: 413.2
Formation enthalpy at 0 K, eV per formula unit: 1.69

***

Entry from the Alexandria database: a relaxed LiSe2BrO crystal (PBE).

Lattice parameters (Å, degrees): 4.0981 4.0981 7.7647 90.00 90.00 90.00
Closest atoms and distances in Å follow each position.
Sites, in units of the cell vectors:
Li: 0.0000 0.0000 0.0000  4 Br 2.90
Se: 0.0000 0.5000 0.5000  2 O 2.05
Se: 0.5000 0.0000 0.5000  2 O 2.05
Br: 0.5000 0.5000 0.0000  4 Li 2.90
O: 0.5000 0.5000 0.5000  4 Se 2.05

N(E_F), states/eV per cell: 3.35
M_tot, μB/f.u.: 0.69
VASP energy, eV/atom: -3.289
Distance to the lowest polymorph of the same formula, meV/atom: 0.0

***

Entry from the Alexandria database: a relaxed PrGe3Ru3 crystal (PBE).

Lattice parameters (Å, degrees): 8.0842 8.0842 8.0842 49.36 49.36 49.36
Closest atoms and distances in Å follow each position.
Sites, in units of the cell vectors:
Pr: 0.1696 0.1696 0.1696  3 Ru 3.03, 6 Ge 3.10-3.39
Pr: 0.8304 0.8304 0.8304  3 Ru 3.03, 6 Ge 3.10-3.39
Ge: 0.1690 0.6938 0.3525  4 Ru 2.44-2.50
Ge: 0.3062 0.6475 0.8310  4 Ru 2.44-2.50
Ge: 0.3525 0.1690 0.6938  4 Ru 2.44-2.50
Ge: 0.6475 0.8310 0.3062  4 Ru 2.44-2.50
Ge: 0.6938 0.3525 0.1690  4 Ru 2.44-2.50
Ge: 0.8310 0.3062 0.6475  4 Ru 2.44-2.50
Ru: 0.0544 0.5473 0.2647  4 Ge 2.44-2.50
Ru: 0.2647 0.0544 0.5473  4 Ge 2.44-2.50
Ru: 0.4527 0.7353 0.9456  4 Ge 2.44-2.50
Ru: 0.5473 0.2647 0.0544  4 Ge 2.44-2.50
Ru: 0.7353 0.9456 0.4527  4 Ge 2.44-2.50
Ru: 0.9456 0.4527 0.7353  4 Ge 2.44-2.50

N(E_F), states/eV per cell: 10.28
M_tot, μB/f.u.: 0.00
VASP energy, eV/atom: -6.835
Distance to the lowest polymorph of the same formula, meV/atom: 0.0
Formation enthalpy at 0 K, eV per formula unit: -1.39

***

Entry from the Alexandria database: a relaxed BeMo2Rh crystal (PBE).

Lattice parameters (Å, degrees): 3.1203 3.1203 5.7171 90.00 90.00 90.00
Closest atoms and distances in Å follow each position.
Sites, in units of the cell vectors:
Be: 0.0000 0.0000 0.0000  4 Rh 2.49, 4 Mo 2.62
Mo: 0.0000 0.0000 0.4894  4 Mo 2.60, 1 Be 2.80, 4 Rh 2.82
Mo: 0.5000 0.5000 0.2479  1 Rh 2.57, 4 Mo 2.60, 4 Be 2.62
Rh: 0.5000 0.5000 0.7975  4 Be 2.49, 1 Mo 2.57

N(E_F), states/eV per cell: 3.53
M_tot, μB/f.u.: 0.00
VASP energy, eV/atom: -8.246
Formation enthalpy at 0 K, eV per formula unit: -0.24

***

Entry from the Alexandria database: a relaxed AlFe2W crystal (PBE).

Lattice parameters (Å, degrees): 3.5755 3.5755 8.0775 90.00 90.00 90.00
Closest atoms and distances in Å follow each position.
Sites, in units of the cell vectors:
Al: 0.0000 0.0000 0.0000  8 Fe 2.53-2.70, 4 W 2.70
Al: 0.5000 0.5000 0.5000  8 Fe 2.53-2.70, 4 W 2.70
Fe: 0.0000 0.0000 0.5000  4 Al 2.53, 4 Fe 2.70, 4 W 2.70
Fe: 0.0000 0.5000 0.7500  4 W 2.53, 4 Fe 2.70, 4 Al 2.70
Fe: 0.5000 0.0000 0.2500  4 W 2.53, 4 Fe 2.70, 4 Al 2.70
Fe: 0.5000 0.5000 0.0000  4 Al 2.53, 4 Fe 2.70, 4 W 2.70
W: 0.0000 0.5000 0.2500  8 Fe 2.53-2.70, 4 Al 2.70
W: 0.5000 0.0000 0.7500  8 Fe 2.53-2.70, 4 Al 2.70

N(E_F), states/eV per cell: 5.90
M_tot, μB/f.u.: 0.32
VASP energy, eV/atom: -8.422
Formation enthalpy at 0 K, eV per formula unit: -0.07

***

Entry from the Alexandria database: a relaxed Cr4AgAs crystal (PBE).

Lattice parameters (Å, degrees): 4.8664 4.8664 4.8664 60.00 60.00 60.00
Closest atoms and distances in Å follow each position.
Sites, in units of the cell vectors:
Cr: 0.3778 0.3778 0.3778  6 Cr 2.38-2.49
Cr: 0.3778 0.3778 0.8665  6 Cr 2.38-2.49
Cr: 0.3778 0.8665 0.3778  6 Cr 2.38-2.49
Cr: 0.8665 0.3778 0.3778  6 Cr 2.38-2.49
Ag: 0.7500 0.7500 0.7500  12 Cr 2.85, 4 As 2.98
As: 0.0000 0.0000 0.0000  12 Cr 2.86, 4 Ag 2.98

N(E_F), states/eV per cell: 6.36
M_tot, μB/f.u.: 0.00
VASP energy, eV/atom: -7.115
Formation enthalpy at 0 K, eV per formula unit: 3.31

***

Entry from the Alexandria database: a relaxed Rb3CuAg2Br6 crystal (PBE).

Lattice parameters (Å, degrees): 8.1198 8.1198 8.7021 90.00 90.00 120.00
Closest atoms and distances in Å follow each position.
Sites, in units of the cell vectors:
Rb: 0.0000 0.0000 0.0000  6 Br 3.42
Rb: 0.3333 0.6667 0.6399  1 Ag 3.45, 3 Br 3.86
Rb: 0.6667 0.3333 0.3601  1 Ag 3.45, 3 Br 3.86
Cu: 0.0000 0.0000 0.5000  6 Br 2.72
Ag: 0.3333 0.6667 0.2435  3 Br 2.61
Ag: 0.6667 0.3333 0.7565  3 Br 2.61
Br: 0.1521 0.3043 0.3073  1 Ag 2.61, 1 Cu 2.72
Br: 0.1521 0.8479 0.3073  1 Ag 2.61, 1 Cu 2.72
Br: 0.3043 0.1521 0.6927  1 Ag 2.61, 1 Cu 2.72
Br: 0.6957 0.8479 0.3073  1 Ag 2.61, 1 Cu 2.72
Br: 0.8479 0.1521 0.6927  1 Ag 2.61, 1 Cu 2.72
Br: 0.8479 0.6957 0.6927  1 Ag 2.61, 1 Cu 2.72

M_tot, μB/f.u.: 0.00
VASP energy, eV/atom: -2.794

***

Entry from the Alexandria database: a relaxed KZn2Re crystal (PBE).

Lattice parameters (Å, degrees): 6.7740 6.7740 6.7740 90.00 90.00 90.00
Closest atoms and distances in Å follow each position.
Sites, in units of the cell vectors:
K: 0.0000 0.0000 0.0000  4 Re 2.93, 4 Zn 2.93
K: 0.0000 0.5000 0.5000  4 Re 2.93, 4 Zn 2.93
K: 0.5000 0.0000 0.5000  4 Re 2.93, 4 Zn 2.93
K: 0.5000 0.5000 0.0000  4 Re 2.93, 4 Zn 2.93
Zn: 0.0000 0.0000 0.5000  4 Re 2.93, 4 Zn 2.93
Zn: 0.0000 0.5000 0.0000  4 Re 2.93, 4 Zn 2.93
Zn: 0.2500 0.2500 0.7500  4 K 2.93, 4 Zn 2.93
Zn: 0.2500 0.7500 0.2500  4 K 2.93, 4 Zn 2.93
Zn: 0.5000 0.0000 0.0000  4 Re 2.93, 4 Zn 2.93
Zn: 0.5000 0.5000 0.5000  4 Re 2.93, 4 Zn 2.93
Zn: 0.7500 0.2500 0.2500  4 K 2.93, 4 Zn 2.93
Zn: 0.7500 0.7500 0.7500  4 K 2.93, 4 Zn 2.93
Re: 0.2500 0.2500 0.2500  4 K 2.93, 4 Zn 2.93
Re: 0.2500 0.7500 0.7500  4 K 2.93, 4 Zn 2.93
Re: 0.7500 0.2500 0.7500  4 K 2.93, 4 Zn 2.93
Re: 0.7500 0.7500 0.2500  4 K 2.93, 4 Zn 2.93

N(E_F), states/eV per cell: 23.37
M_tot, μB/f.u.: 2.03
VASP energy, eV/atom: -2.635
Distance to the lowest polymorph of the same formula, meV/atom: 901.0
Formation enthalpy at 0 K, eV per formula unit: 5.55